Record 1
The following is a DFT calculation (PBE) of crystalline ErScGa2 at its relaxed geometry.

Calculated values
Its volume is 21.7 A^3/atom. As for the total energy: -38.745 eV/cell. As for the spin magnetization: 0.08 μB/cell.

Cell lengths 3.9540, 4.1744, 10.5287 Å; angles 90.00, 90.00, 90.00 degrees
Closest atoms and distances in Å follow each position.
Space group Amm2 (No. 38)
Inequivalent atoms, fractional coordinates:
Er 0.0000 0.0000 0.0000 (multiplicity 2)  7 Ga 2.93-3.13
Sc 0.5000 0.0000 0.2778 (multiplicity 2)  7 Ga 2.93-3.07
Ga 0.0000 0.0000 0.7218 (multiplicity 2)  2 Ga 2.59
Ga 0.5000 0.0000 0.5634 (multiplicity 2)  2 Ga 2.59

---

Record 2
The following is a DFT calculation (PBE) of crystalline Gd5Ge4 at its relaxed geometry.

Calculated values
Its volume is 24.9 A^3/atom. As for the total energy: -197.763 eV/cell. As for the spin magnetization: 0.10 μB/cell.

Cell lengths 7.7265, 14.8444, 7.8098 Å; angles 90.00, 90.00, 90.00 degrees
Closest atoms and distances in Å follow each position.
Space group Pnma (No. 62)
Inequivalent atoms, fractional coordinates:
Gd 0.0245 0.1014 0.1778 (multiplicity 8)  6 Ge 3.00-3.26
Gd 0.1233 0.6167 0.3387 (multiplicity 8)  6 Ge 2.89-3.08
Gd 0.2117 0.2500 0.5011 (multiplicity 4)  6 Ge 2.99-3.16
Ge 0.0818 0.2500 0.8848 (multiplicity 4)  1 Ge 2.73, 3 Gd 2.99-3.04
Ge 0.1714 0.7500 0.6357 (multiplicity 4)  1 Ge 2.73, 3 Gd 2.99-3.05
Ge 0.2185 0.0441 0.5327 (multiplicity 8)  6 Gd 2.89-3.15

---

Record 3
The following is a DFT calculation (PBE) of crystalline TbYH2Cl4 at its relaxed geometry.

Calculated values
Its volume is 20.2 A^3/atom. As for the total energy: -39.381 eV/cell. As for the spin magnetization: 0.00 μB/cell.

Cell lengths 3.7552, 3.7552, 13.2263 Å; angles 90.00, 90.00, 120.00 degrees
Closest atoms and distances in Å follow each position.
Space group P-6m2 (No. 187)
Inequivalent atoms, fractional coordinates:
Tb 0.0000 0.0000 0.0000 (multiplicity 1)  3 H 2.17
Y 0.0000 0.0000 0.5000 (multiplicity 1)  3 H 2.17
H 0.3333 0.6667 0.0000 (multiplicity 1)  3 Tb 2.17
H 0.6667 0.3333 0.5000 (multiplicity 1)  3 Y 2.17
Cl 0.3333 0.6667 0.3675 (multiplicity 2)  3 Y 2.79, 3 H 2.79
Cl 0.6667 0.3333 0.1327 (multiplicity 2)  3 Tb 2.79, 3 H 2.79

---

Record 4
The following is a DFT calculation (PBE) of crystalline K2InNiCl6 at its relaxed geometry.

Calculated values
Its volume is 25.2 A^3/atom. As for the total energy: -136.336 eV/cell. As for the spin magnetization: 4.40 μB/cell.

Cell lengths 10.0291, 10.0291, 10.0291 Å; angles 90.00, 90.00, 90.00 degrees
Closest atoms and distances in Å follow each position.
Space group Fm-3m (No. 225)
Inequivalent atoms, fractional coordinates:
K 0.2500 0.2500 0.2500 (multiplicity 8)  12 Cl 3.55
In 0.0000 0.0000 0.0000 (multiplicity 4)  6 Cl 2.60
Ni 0.0000 0.0000 0.5000 (multiplicity 4)  6 Cl 2.41
Cl 0.0000 0.0000 0.2596 (multiplicity 24)  1 Ni 2.41, 1 In 2.60

---

Please write out number 1 again, unchanged.
The following is a DFT calculation (PBE) of crystalline ErScGa2 at its relaxed geometry.

Calculated values
Its volume is 21.7 A^3/atom. As for the total energy: -38.745 eV/cell. As for the spin magnetization: 0.08 μB/cell.

Cell lengths 3.9540, 4.1744, 10.5287 Å; angles 90.00, 90.00, 90.00 degrees
Closest atoms and distances in Å follow each position.
Space group Amm2 (No. 38)
Inequivalent atoms, fractional coordinates:
Er 0.0000 0.0000 0.0000 (multiplicity 2)  7 Ga 2.93-3.13
Sc 0.5000 0.0000 0.2778 (multiplicity 2)  7 Ga 2.93-3.07
Ga 0.0000 0.0000 0.7218 (multiplicity 2)  2 Ga 2.59
Ga 0.5000 0.0000 0.5634 (multiplicity 2)  2 Ga 2.59

---

- Which of these has the highest spin magnetization?
  K2InNiCl6

---

- What is the formula in the first record?
  ErScGa2